Entry 1:
Computed, not measured: a relaxed RbPuPb2O6 crystal at the PBE level of DFT.

Cell: 6.223 6.251 6.696 Å, 90.35 117.54 119.79°
Space group P1 (No. 1)
Asymmetric unit:
Rb 0.000 0.000 0.000 [1 per cell]
Pu 0.938 0.469 0.406 [1 per cell]
Pb 0.519 0.263 0.778 [1 per cell]
Pb 0.575 0.787 0.361 [1 per cell]
O 0.068 0.435 0.189 [1 per cell]
O 0.079 0.263 0.601 [1 per cell]
O 0.335 0.815 0.599 [1 per cell]
O 0.559 0.124 0.189 [1 per cell]
O 0.750 0.629 0.184 [1 per cell]
O 0.781 0.524 0.599 [1 per cell]

Calculated values
E_tot (Ha/atom): -0.258
Formation energy (no corrections) (meV per atom): -1774

Entry 2:
Computed, not measured: a relaxed In4Ga2Pb crystal at the PBE level of DFT.

Cell: 4.860 17.517 4.297 Å, 90.00 90.00 90.00°
Space group Cmmm (No. 65)
Asymmetric unit:
In 0.000 0.164 0.000 [4 per cell]
In 0.000 0.312 0.500 [4 per cell]
Ga 0.000 0.428 0.000 [4 per cell]
Pb 0.000 0.000 0.500 [2 per cell]

Calculated values
E_tot (Ha/atom): -0.106